Record 1
Density functional theory data (PBE) for a relaxed La2HfSb crystal.

Properties
Crystal system = tetragonal

Cell lengths 8.856, 8.856, 6.206 Å; angles 90.00, 90.00, 90.00 degrees
Space group I-42d (No. 122)
One atom of each set of equivalent atoms:
La1 0.240 0.250 0.125 (multiplicity 8)
Hf1 0.000 0.000 0.500 (multiplicity 4)
Sb1 0.000 0.000 0.000 (multiplicity 4)

***

Record 2
Density functional theory data (PBE) for a relaxed LaHf2Sb crystal.

Properties
Crystal system = tetragonal

Cell lengths 4.488, 4.488, 21.188 Å; angles 90.00, 90.00, 90.00 degrees
Space group I-42d (No. 122)
One atom of each set of equivalent atoms:
La1 0.000 0.000 0.000 (multiplicity 4)
Hf1 0.235 0.250 0.625 (multiplicity 8)
Sb1 0.000 0.000 0.500 (multiplicity 4)

***

Record 3
Density functional theory data (PBE) for a relaxed LaHfSb2 crystal.

Properties
Crystal system = trigonal

Cell lengths 3.3826, 3.3826, 33.7045 Å; angles 90.00, 90.00, 120.00 degrees
Space group R-3m (No. 166, hexagonal axes)
One atom of each set of equivalent atoms:
La1 0.0000 0.0000 0.0000 (multiplicity 3)
Hf1 0.0000 0.0000 0.5000 (multiplicity 3)
Sb1 0.0000 0.0000 0.0982 (multiplicity 6)

***

Record 4
Density functional theory data (PBE) for a relaxed LaHf2Sb2 crystal.

Properties
Crystal system = tetragonal

Cell lengths 8.240, 8.240, 3.710 Å; angles 90.00, 90.00, 90.00 degrees
Space group P4/mbm (No. 127)
One atom of each set of equivalent atoms:
La1 0.000 0.000 0.000 (multiplicity 2)
Hf1 0.146 0.354 0.500 (multiplicity 4)
Sb1 0.141 0.641 0.000 (multiplicity 4)

***

| no. | E_form (uncorrected) (eV/atom) | raw total energy (eV/atom) |
| --- | --- | --- |
| 1 | 0.00 | -5.979 |
| 2 | 0.04 | -7.200 |
| 3 | -0.16 | -5.942 |
| 4 | -0.48 | -7.098 |